Material: CsSrZnI5
Method: DFT, GGA-PBE
State: relaxed

Raw formation energy   -9.92 eV/f.u.

Lattice parameters (Å, degrees): 8.920 8.920 11.663 105.00 105.00 105.40
Positions (direct):
Cs 0.146 0.854 0.750
Cs 0.854 0.146 0.250
Sr 0.500 0.500 0.000
Sr 0.500 0.500 0.500
Zn 0.187 0.813 0.250
Zn 0.813 0.187 0.750
I 0.102 0.258 0.932
I 0.172 0.599 0.371
I 0.258 0.102 0.432
I 0.401 0.828 0.129
I 0.410 0.590 0.750
I 0.590 0.410 0.250
I 0.599 0.172 0.871
I 0.742 0.898 0.568
I 0.828 0.401 0.629
I 0.898 0.742 0.068